Computed, not measured: crystalline SrCrCu2F8 at its relaxed geometry at the GGA+U level of DFT.

Results
For the total energy, the calculation gives -4.9525 eV per atom.

a b c (Å): 5.569 5.569 6.443
angles (deg): 115.60 115.60 90.00
Last column: magnetic moment on the atom in μB.
Element x y z (fractional)
Cr (0.000, 0.000, 0.000)  3.83
F (0.707, 0.834, 0.046)  0.04
Cu (0.250, 0.750, 0.500)  0.54
F (0.166, 0.661, 0.954)  0.04
F (0.339, 0.212, 0.046)  0.04
F (0.788, 0.293, 0.954)  0.04
F (0.924, 0.619, 0.469)  0.06
Sr (0.750, 0.250, 0.500)  0.01
F (0.150, 0.076, 0.531)  0.06
Cu (0.500, 0.500, 0.000)  0.63
F (0.545, 0.850, 0.469)  0.06
F (0.381, 0.455, 0.531)  0.06